(1)
# PBE-GGA ScAlAgHg2, relaxed
# Size of the total moment = 0.000 μB per cell
# Energy of formation from the pure elements = 0.280 eV per atom
# Calculated density = 7.9 g/cm³
# DOS(E_F) = 0.66 states/eV/atom
data_ScAlAgHg2
_chemical_formula_sum 'Sc1 Al1 Ag1 Hg2'
_symmetry_space_group_name_H-M 'P 1'
_symmetry_Int_Tables_number 1
_cell_length_a 5.041
_cell_length_b 4.815
_cell_length_c 5.041
_cell_angle_alpha 90.00
_cell_angle_beta 90.00
_cell_angle_gamma 90.00
loop_
_symmetry_equiv_pos_as_xyz
'x,y,z'
loop_
_atom_site_label
_atom_site_type_symbol
_atom_site_fract_x
_atom_site_fract_y
_atom_site_fract_z
Ag1 Ag 0.000 0.500 0.000
Sc1 Sc 0.500 0.500 0.500
Hg1 Hg 0.000 0.000 0.500
Hg2 Hg 0.500 0.000 0.000
Al1 Al 0.000 0.000 0.000


(2)
# PBE-GGA KOsO4, relaxed
# Size of the total moment = 0.000 μB per cell
# Energy relative to the elements, uncorrected = -1158 meV per atom
# Calculated density = 5.3 g/cm³
# DOS(E_F) = 0.30 states/eV/atom
data_KOsO4
_chemical_formula_sum 'K2 Os2 O8'
_symmetry_space_group_name_H-M 'P 1'
_symmetry_Int_Tables_number 1
_cell_length_a 3.824
_cell_length_b 5.737
_cell_length_c 8.644
_cell_angle_alpha 90.00
_cell_angle_beta 102.78
_cell_angle_gamma 90.00
loop_
_symmetry_equiv_pos_as_xyz
'x,y,z'
loop_
_atom_site_label
_atom_site_type_symbol
_atom_site_fract_x
_atom_site_fract_y
_atom_site_fract_z
Os1 Os 0.921 0.250 0.842
O1 O 0.845 0.026 0.691
Os2 Os 0.079 0.750 0.158
K1 K 0.303 0.750 0.606
O2 O 0.000 0.500 0.000
O3 O 0.845 0.474 0.691
O4 O 0.155 0.526 0.309
O5 O 0.000 0.000 0.000
O6 O 0.426 0.250 0.852
K2 K 0.697 0.250 0.394
O7 O 0.574 0.750 0.148
O8 O 0.155 0.974 0.309


(3)
# PBE-GGA SnHg2F, relaxed
# Size of the total moment = 0.000 μB per cell
# Energy relative to the elements, uncorrected = -422 meV per atom
# Calculated density = 8.2 g/cm³
# Distance to the lowest polymorph of the same formula = 0.122 eV/atom
# DOS(E_F) = 0.40 states/eV/atom
data_SnHg2F
_chemical_formula_sum 'Sn2 Hg4 F2'
_symmetry_space_group_name_H-M 'P 1'
_symmetry_Int_Tables_number 1
_cell_length_a 5.300
_cell_length_b 5.300
_cell_length_c 8.634
_cell_angle_alpha 72.13
_cell_angle_beta 72.13
_cell_angle_gamma 90.00
loop_
_symmetry_equiv_pos_as_xyz
'x,y,z'
loop_
_atom_site_label
_atom_site_type_symbol
_atom_site_fract_x
_atom_site_fract_y
_atom_site_fract_z
Hg1 Hg 0.181 0.625 0.250
Hg2 Hg 0.875 0.819 0.750
Sn1 Sn 0.000 0.000 0.000
F1 F 0.500 0.500 0.000
Sn2 Sn 0.750 0.250 0.500
F2 F 0.250 0.750 0.500
Hg3 Hg 0.569 0.125 0.250
Hg4 Hg 0.375 0.431 0.750


(4)
# PBE-GGA AcDy5Hg6, relaxed
# Size of the total moment = 0.453 μB per cell
# Energy of formation from the pure elements = -0.456 eV per atom
# Calculated density = 11.5 g/cm³
# DOS(E_F) = 1.03 states/eV/atom
data_AcDy5Hg6
_chemical_formula_sum 'Ac1 Dy5 Hg6'
_symmetry_space_group_name_H-M 'P 1'
_symmetry_Int_Tables_number 1
_cell_length_a 5.297
_cell_length_b 7.589
_cell_length_c 8.499
_cell_angle_alpha 90.00
_cell_angle_beta 108.24
_cell_angle_gamma 90.00
loop_
_symmetry_equiv_pos_as_xyz
'x,y,z'
loop_
_atom_site_label
_atom_site_type_symbol
_atom_site_fract_x
_atom_site_fract_y
_atom_site_fract_z
Dy1 Dy 0.662 0.500 0.325
Dy2 Dy 0.329 0.000 0.657
Hg1 Hg 0.500 0.267 0.000
Dy3 Dy 0.338 0.500 0.675
Dy4 Dy 0.000 0.500 0.000
Hg2 Hg 0.173 0.263 0.349
Hg3 Hg 0.827 0.737 0.651
Ac1 Ac 0.000 0.000 0.000
Dy5 Dy 0.671 0.000 0.343
Hg4 Hg 0.827 0.263 0.651
Hg5 Hg 0.173 0.737 0.349
Hg6 Hg 0.500 0.733 0.000


(5)
# PBE-GGA LiCeDyAl, relaxed
# Size of the total moment = 0.650 μB per cell
# Energy of formation from the pure elements = -0.118 eV per atom
# Calculated density = 5.7 g/cm³
# DOS(E_F) = 1.59 states/eV/atom
data_LiCeDyAl
_chemical_formula_sum 'Li1 Ce1 Dy1 Al1'
_symmetry_space_group_name_H-M 'P 1'
_symmetry_Int_Tables_number 1
_cell_length_a 5.169
_cell_length_b 5.169
_cell_length_c 5.169
_cell_angle_alpha 60.00
_cell_angle_beta 60.00
_cell_angle_gamma 60.00
loop_
_symmetry_equiv_pos_as_xyz
'x,y,z'
loop_
_atom_site_label
_atom_site_type_symbol
_atom_site_fract_x
_atom_site_fract_y
_atom_site_fract_z
Li1 Li 0.000 0.000 0.000
Al1 Al 0.500 0.500 0.500
Ce1 Ce 0.250 0.250 0.250
Dy1 Dy 0.750 0.750 0.750


(6)
# PBE-GGA Sr2SnGe4Pt3, relaxed
# Size of the total moment = 0.000 μB per cell
# Energy of formation from the pure elements = -0.683 eV per atom
# Calculated density = 9.1 g/cm³
# DOS(E_F) = 0.50 states/eV/atom
data_Sr2SnGe4Pt3
_chemical_formula_sum 'Sr2 Sn1 Ge4 Pt3'
_symmetry_space_group_name_H-M 'P 1'
_symmetry_Int_Tables_number 1
_cell_length_a 4.434
_cell_length_b 4.434
_cell_length_c 10.821
_cell_angle_alpha 90.00
_cell_angle_beta 90.00
_cell_angle_gamma 90.00
loop_
_symmetry_equiv_pos_as_xyz
'x,y,z'
loop_
_atom_site_label
_atom_site_type_symbol
_atom_site_fract_x
_atom_site_fract_y
_atom_site_fract_z
Pt1 Pt 0.000 0.500 0.117
Pt2 Pt 0.500 0.000 0.883
Sn1 Sn 0.500 0.500 0.500
Ge1 Ge 0.000 0.000 0.000
Ge2 Ge 0.000 0.500 0.347
Sr1 Sr 0.000 0.500 0.759
Ge3 Ge 0.500 0.500 0.000
Pt3 Pt 0.000 0.000 0.500
Sr2 Sr 0.500 0.000 0.241
Ge4 Ge 0.500 0.000 0.653